A plane-wave DFT calculation with PBE was carried out for Rb2LiSn7 after structural relaxation.

Summary:
raw total energy = -3.337 eV per atom
density of states at the Fermi level = 0.491 states/eV/atom
ΔE_f = -150 meV/atom

```
data_Rb2LiSn7
_chemical_formula_sum 'Rb2 Li1 Sn7'
_cell_length_a 5.078
_cell_length_b 5.078
_cell_length_c 13.004
_cell_angle_alpha 90.00
_cell_angle_beta 90.00
_cell_angle_gamma 90.00
_space_group_name_H-M_alt 'P -4 m 2'
_space_group_IT_number 115
loop_
_space_group_symop_operation_xyz
'x,y,z'
'y,-x,-z'
'-x,-y,z'
'-y,x,-z'
'-x,y,z'
'-y,-x,-z'
'x,-y,z'
'y,x,-z'
loop_
_atom_site_label
_atom_site_fract_x
_atom_site_fract_y
_atom_site_fract_z
_atom_site_occupancy
Rb1 0.000 0.500 0.246 1
Li1 0.500 0.500 0.000 1
Sn1 0.000 0.000 0.000 1
Sn2 0.000 0.000 0.500 1
Sn3 0.000 0.500 0.632 1
Sn4 0.000 0.500 0.873 1
Sn5 0.500 0.500 0.500 1
```

A plane-wave DFT calculation with PBE was carried out for RbLi3Sn after structural relaxation.

Summary:
raw total energy = -1.468 eV per atom
density of states at the Fermi level = 0.432 states/eV/atom
ΔE_f = 674 meV/atom

```
data_RbLi3Sn
_chemical_formula_sum 'Rb1 Li3 Sn1'
_cell_length_a 5.191
_cell_length_b 5.191
_cell_length_c 5.191
_cell_angle_alpha 90.00
_cell_angle_beta 90.00
_cell_angle_gamma 90.00
_space_group_name_H-M_alt 'P m -3 m'
_space_group_IT_number 221
_space_group_name_Hall '-P 4 2 3'
loop_
_atom_site_label
_atom_site_fract_x
_atom_site_fract_y
_atom_site_fract_z
_atom_site_occupancy
Rb1 0.000 0.000 0.000 1
Li1 0.000 0.000 0.500 1
Sn1 0.500 0.500 0.500 1
```

A plane-wave DFT calculation with PBE was carried out for Rb2LiSn2 after structural relaxation.

Summary:
raw total energy = -2.401 eV per atom
density of states at the Fermi level = 1.137 states/eV/atom
ΔE_f = -30 meV/atom

```
data_Rb2LiSn2
_chemical_formula_sum 'Rb4 Li2 Sn4'
_cell_length_a 7.946
_cell_length_b 7.946
_cell_length_c 6.096
_cell_angle_alpha 90.00
_cell_angle_beta 90.00
_cell_angle_gamma 90.00
_space_group_name_H-M_alt 'P 4/m b m'
_space_group_IT_number 127
_space_group_name_Hall '-P 4 2ab'
loop_
_atom_site_label
_atom_site_fract_x
_atom_site_fract_y
_atom_site_fract_z
_atom_site_occupancy
Rb1 0.179 0.321 0.000 1
Li1 0.000 0.000 0.500 1
Sn1 0.128 0.628 0.500 1
```

A plane-wave DFT calculation with PBE was carried out for Rb3LiSn4 after structural relaxation.

Summary:
raw total energy = -2.901 eV per atom
ΔE_f = -298 meV/atom

```
data_Rb3LiSn4
_chemical_formula_sum 'Rb6 Li2 Sn8'
_cell_length_a 7.144
_cell_length_b 13.331
_cell_length_c 6.850
_cell_angle_alpha 90.00
_cell_angle_beta 90.00
_cell_angle_gamma 90.00
_space_group_name_H-M_alt 'P m m n'
_space_group_IT_number 59
loop_
_space_group_symop_operation_xyz
'x,y,z'
'-x,-y,-z'
'-x+1/2,-y+1/2,z'
'x+1/2,y+1/2,-z'
'x+1/2,-y,-z'
'-x+1/2,y,z'
'-x,y+1/2,-z'
'x,-y+1/2,z'
loop_
_atom_site_label
_atom_site_fract_x
_atom_site_fract_y
_atom_site_fract_z
_atom_site_occupancy
Rb1 0.250 0.007 0.169 1
Rb2 0.250 0.250 0.553 1
Li1 0.250 0.750 0.311 1
Sn1 0.030 0.750 0.956 1
Sn2 0.250 0.635 0.668 1
```